# DyScSeO2

A relaxed DyScSeO2 crystal (GGA-PBE, Alexandria).

Unit cell a=3.958 b=6.419 c=7.362 alpha=110.73 beta=90.00 gamma=90.00
Fractional positions:
Dy 0.750 0.312 0.066
O 0.250 0.470 0.605
Sc 0.250 0.657 0.427
Se 0.750 0.967 0.245
O 0.750 0.530 0.395
O 0.750 0.514 0.868
Se 0.250 0.033 0.755
Sc 0.750 0.343 0.573
Dy 0.250 0.688 0.934
O 0.250 0.486 0.132

Calculated values
raw formation energy: -3.029 eV per atom
magnetic moment: 0.000 μB per formula unit
crystal system: monoclinic

# Ba2Ga3PdPt4

A relaxed Ba2Ga3PdPt4 crystal (GGA-PBE, Alexandria).

Unit cell a=4.482 b=4.482 c=10.692 alpha=90.00 beta=90.00 gamma=90.00
Fractional positions:
Ba 0.500 0.000 0.253
Pt 0.500 0.500 0.000
Ba 0.000 0.500 0.747
Ga 0.500 0.000 0.883
Ga 0.000 0.000 0.500
Pt 0.000 0.000 0.000
Pd 0.500 0.500 0.500
Pt 0.000 0.500 0.355
Ga 0.000 0.500 0.117
Pt 0.500 0.000 0.645

Calculated values
formation energy from the elements: -0.714 eV per atom
magnetic moment: 0.000 μB per formula unit
crystal system: tetragonal

# TiAlCrMo

A relaxed TiAlCrMo crystal (GGA-PBE, Alexandria).

Unit cell a=4.350 b=4.350 c=4.350 alpha=60.00 beta=60.00 gamma=60.00
Fractional positions:
Al 0.750 0.750 0.750
Cr 0.000 0.000 0.000
Mo 0.250 0.250 0.250
Ti 0.500 0.500 0.500

Calculated values
formation energy from the elements: -0.130 eV per atom
magnetic moment: 0.002 μB per formula unit
crystal system: cubic